Below is a geometry-optimized HoCd4Ga2 structure, with properties calculated at the PBE level.

Lattice parameters (Å, degrees): 4.341 4.366 8.287 105.27 90.00 90.00
Fractional positions:
Ho 0.000 0.000 0.000
Cd 0.500 0.823 0.646
Cd 0.000 0.681 0.363
Cd 0.500 0.177 0.354
Cd 0.000 0.319 0.637
Ga 0.500 0.575 0.150
Ga 0.500 0.425 0.850

Calculated values
Its space group is Cmmm (65). Its formation energy is -0.19 eV per atom. The total DFT energy (no corrections) is -2.228 eV/atom. The value obtained for the size of the total moment is 0.0 μB/f.u. As for the crystal system: orthorhombic.

Below is a geometry-optimized HoCdGa structure, with properties calculated at the PBE level.

Lattice parameters (Å, degrees): 3.564 4.652 4.652 120.00 90.00 90.00
Fractional positions:
Ho 0.666 0.667 0.333
Ga 0.168 0.000 0.000
Cd 0.166 0.333 0.667

Calculated values
Its space group is P-6m2 (187). Its formation energy is -0.44 eV per atom. The total DFT energy (no corrections) is -3.283 eV/atom. The value obtained for the size of the total moment is 0.0 μB/f.u. As for the crystal system: hexagonal.